1.
Here is a relaxed Tl4In3Sn2 crystal from Alexandria. Energies are from PBE.

Results
**Raw total energy**: -25.343 eV/f.u.
**DFT formation energy**: 38 meV/atom

```
data_Tl4In3Sn2
_cell_length_a 8.2059
_cell_length_b 9.2672
_cell_length_c 9.2672
_cell_angle_alpha 91.57
_cell_angle_beta 63.05
_cell_angle_gamma 63.05
_symmetry_space_group_name_H-M 'P 1'
_symmetry_Int_Tables_number 1
_symmetry_space_group_name_Hall 'P 1'
loop_
_atom_site_label
_atom_site_type_symbol
_atom_site_fract_x
_atom_site_fract_y
_atom_site_fract_z
Tl1 Tl 0.2607 0.7014 0.5884
Tl2 Tl 0.7607 0.5884 0.7014
Tl3 Tl 0.3144 0.0128 0.1875
Tl4 Tl 0.6856 0.9872 0.8125
Tl5 Tl 0.1856 0.8125 0.9872
Tl6 Tl 0.8144 0.1875 0.0128
Tl7 Tl 0.2393 0.4116 0.2986
Tl8 Tl 0.7393 0.2986 0.4116
Sn1 Sn 0.6224 0.0199 0.3113
Sn2 Sn 0.1224 0.3113 0.0199
Sn3 Sn 0.8776 0.6887 0.9801
Sn4 Sn 0.3776 0.9801 0.6887
In1 In 0.7500 0.6484 0.3516
In2 In 0.2500 0.3516 0.6484
In3 In 0.5180 0.5993 0.1430
In4 In 0.9820 0.8570 0.4007
In5 In 0.4820 0.4007 0.8570
In6 In 0.0180 0.1430 0.5993
```

=====

2.
Here is a relaxed TlIn2Sn crystal from Alexandria. Energies are from PBE.

Results
**Raw total energy**: -11.743 eV/f.u.
**DFT formation energy**: 26 meV/atom

```
data_TlIn2Sn
_cell_length_a 4.2892
_cell_length_b 5.1334
_cell_length_c 5.1334
_cell_angle_alpha 90.00
_cell_angle_beta 90.00
_cell_angle_gamma 90.00
_symmetry_space_group_name_H-M 'P 1'
_symmetry_Int_Tables_number 1
_symmetry_space_group_name_Hall 'P 1'
loop_
_atom_site_label
_atom_site_type_symbol
_atom_site_fract_x
_atom_site_fract_y
_atom_site_fract_z
In1 In 0.0000 0.0000 0.5000
In2 In 0.0000 0.5000 0.0000
Sn1 Sn 0.5000 0.0000 0.0000
Tl1 Tl 0.5000 0.5000 0.5000
```